Computed, not measured: an optimized crystal structure of K2RbCdPt at the PBE level of DFT.

```
K2RbCdPt
1.0
6.250 0.000 0.000
0.000 6.250 0.000
0.000 0.000 5.429
K Rb Cd Pt
2 1 1 1
direct
0.000 0.500 0.000 K
0.500 0.000 0.000 K
0.000 0.000 0.500 Rb
0.500 0.500 0.500 Cd
0.500 0.500 0.000 Pt
```

Computed, not measured: an optimized crystal structure of La2GaGe2 at the PBE level of DFT.

```
La2GaGe2
1.0
-1.904 1.904 9.079
1.904 -1.904 9.079
1.904 1.904 -9.079
La Ga Ge
2 1 2
direct
0.108 0.108 0.000 La
0.892 0.892 0.000 La
0.500 0.500 0.000 Ga
0.250 0.750 0.500 Ge
0.750 0.250 0.500 Ge
```

no.,VASP energy (eV/atom)
1,-2.0567
2,-4.8610